Entry 1:
This record from the Alexandria database describes a relaxed structure of LaPuAgRu. The functional is PBE.

It has space group F-43m (No. 216), with a = 7.195 Å, b = 7.195 Å, c = 7.195 Å, α = 90.00°, β = 90.00° and γ = 90.00°. The asymmetric unit holds La at (0.000, 0.000, 0.000), Pu at (0.000, 0.000, 0.500), Ag at (0.250, 0.250, 0.250) and Ru at (0.250, 0.250, 0.750).

The density is 10.55 Mg/m³. For the formation energy from the elements, the calculation gives -0.03 eV per atom.

Entry 2:
This record from the Alexandria database describes a relaxed structure of La2PuAgSe5. The functional is PBE.

It has space group Cmc2_1 (No. 36), with a = 4.226 Å, b = 17.653 Å, c = 12.638 Å, α = 90.00°, β = 90.00° and γ = 90.00°. The asymmetric unit holds La at (0.000, 0.112, 0.000), La at (0.000, 0.124, 0.622), Pu at (0.000, 0.197, 0.323), Ag at (0.000, 0.449, 0.772), Se at (0.000, 0.046, 0.390), Se at (0.000, 0.290, 0.980), Se at (0.000, 0.306, 0.661), Se at (0.000, 0.362, 0.315) and Se at (0.000, 0.498, 0.083).

The energy relative to the elements, uncorrected is -1.5187 eV per atom. The density is 7.22 Mg/m³.

Entry 3:
This record from the Alexandria database describes a relaxed structure of LaPuSiAg. The functional is PBE.

It has space group F-43m (No. 216), with a = 7.364 Å, b = 7.364 Å, c = 7.364 Å, α = 90.00°, β = 90.00° and γ = 90.00°. The asymmetric unit holds La at (0.000, 0.000, 0.000), Pu at (0.000, 0.000, 0.500), Si at (0.250, 0.250, 0.750) and Ag at (0.250, 0.250, 0.250).

The energy relative to the elements, uncorrected is -0.2465 eV per atom. The density is 8.63 Mg/m³.

Entry 4:
This record from the Alexandria database describes a relaxed structure of RbLa3Ag. The functional is PBE.

It has space group Pm-3m (No. 221), with a = 5.707 Å, b = 5.707 Å, c = 5.707 Å, α = 90.00°, β = 90.00° and γ = 90.00°. The asymmetric unit holds Rb at (0.000, 0.000, 0.000), La at (0.000, 0.000, 0.500) and Ag at (0.500, 0.500, 0.500).

The density is 5.45 Mg/m³. For the formation energy from the elements, the calculation gives 1.15 eV per atom.

Entry 5:
This record from the Alexandria database describes a relaxed structure of RbLaAg3. The functional is PBE.

It has space group Pm-3m (No. 221), with a = 5.916 Å, b = 5.916 Å, c = 5.916 Å, α = 90.00°, β = 90.00° and γ = 90.00°. The asymmetric unit holds Rb at (0.000, 0.000, 0.000), La at (0.500, 0.500, 0.500) and Ag at (0.000, 0.500, 0.500).

The density is 4.39 Mg/m³. For the formation energy from the elements, the calculation gives 0.40 eV per atom.

Entry 6:
This record from the Alexandria database describes a relaxed structure of RbLa3Ag. The functional is PBE.

It has space group Pm-3m (No. 221), with a = 6.076 Å, b = 6.076 Å, c = 6.076 Å, α = 90.00°, β = 90.00° and γ = 90.00°. The asymmetric unit holds Rb at (0.000, 0.000, 0.000), La at (0.000, 0.500, 0.500) and Ag at (0.500, 0.500, 0.500).

The density is 4.52 Mg/m³. For the formation energy from the elements, the calculation gives 0.35 eV per atom.

Entry 7:
This record from the Alexandria database describes a relaxed structure of RbLaAg10. The functional is PBE.

It has space group Pmmm (No. 47), with a = 4.681 Å, b = 5.762 Å, c = 10.113 Å, α = 90.00°, β = 90.00° and γ = 90.00°. The asymmetric unit holds Rb at (0.000, 0.000, 0.000), La at (0.000, 0.500, 0.500), Ag at (0.000, 0.000, 0.340), Ag at (0.000, 0.500, 0.178), Ag at (0.500, 0.000, 0.500), Ag at (0.500, 0.258, 0.261) and Ag at (0.500, 0.500, 0.000).

The density is 7.93 Mg/m³. For the formation energy from the elements, the calculation gives -0.05 eV per atom.

Entry 8:
This record from the Alexandria database describes a relaxed structure of RbLaAg3. The functional is PBE.

It has space group Pm-3m (No. 221), with a = 5.651 Å, b = 5.651 Å, c = 5.651 Å, α = 90.00°, β = 90.00° and γ = 90.00°. The asymmetric unit holds Rb at (0.000, 0.000, 0.000), La at (0.500, 0.500, 0.500) and Ag at (0.000, 0.000, 0.500).

The density is 5.04 Mg/m³. For the formation energy from the elements, the calculation gives 0.84 eV per atom.

Entry 9:
This record from the Alexandria database describes a relaxed structure of RbLaAg2. The functional is PBE.

It has space group P4/mmm (No. 123), with a = 4.007 Å, b = 4.007 Å, c = 8.485 Å, α = 90.00°, β = 90.00° and γ = 90.00°. The asymmetric unit holds Rb at (0.000, 0.000, 0.000), La at (0.000, 0.000, 0.500) and Ag at (0.500, 0.500, 0.320).

The density is 5.37 Mg/m³. For the formation energy from the elements, the calculation gives -0.08 eV per atom.

Entry 10:
This record from the Alexandria database describes a relaxed structure of RbLaAg2. The functional is PBE.

It has space group I-42d (No. 122), with a = 8.678 Å, b = 8.678 Å, c = 7.638 Å, α = 90.00°, β = 90.00° and γ = 90.00°. The asymmetric unit holds Rb at (0.000, 0.000, 0.000), La at (0.000, 0.000, 0.500) and Ag at (0.222, 0.750, 0.625).

The density is 5.08 Mg/m³. For the formation energy from the elements, the calculation gives 0.32 eV per atom.

Entry 11:
This record from the Alexandria database describes a relaxed structure of RbLa2AgS. The functional is PBE.

It has space group P4/mmm (No. 123), with a = 5.826 Å, b = 5.826 Å, c = 5.561 Å, α = 90.00°, β = 90.00° and γ = 90.00°. The asymmetric unit holds Rb at (0.000, 0.000, 0.000), La at (0.000, 0.500, 0.500), Ag at (0.500, 0.500, 0.500) and S at (0.500, 0.500, 0.000).

The energy relative to the elements, uncorrected is 0.2781 eV per atom. The density is 4.43 Mg/m³.

Entry 12:
This record from the Alexandria database describes a relaxed structure of RbLaAgSe3. The functional is PBE.

It has space group Cmcm (No. 63), with a = 4.439 Å, b = 14.891 Å, c = 11.586 Å, α = 90.00°, β = 90.00° and γ = 90.00°. The asymmetric unit holds Rb at (0.000, 0.244, 0.250), La at (0.000, 0.500, 0.000), Ag at (0.000, 0.043, 0.750), Se at (0.000, 0.131, 0.554) and Se at (0.000, 0.442, 0.750).

The energy relative to the elements, uncorrected is -1.1578 eV per atom. The density is 4.94 Mg/m³.

Entry 13:
This record from the Alexandria database describes a relaxed structure of RbLa2AgSe4. The functional is PBE.

It has space group Cmcm (No. 63), with a = 4.413 Å, b = 14.846 Å, c = 15.208 Å, α = 90.00°, β = 90.00° and γ = 90.00°. The asymmetric unit holds Rb at (0.000, 0.115, 0.250), La at (0.000, 0.368, 0.064), Ag at (0.000, 0.160, 0.750), Se at (0.000, 0.000, 0.000), Se at (0.000, 0.263, 0.606) and Se at (0.000, 0.440, 0.250).

The energy relative to the elements, uncorrected is -1.5860 eV per atom. The density is 5.25 Mg/m³.

Entry 14:
This record from the Alexandria database describes a relaxed structure of RbSrLaAg2. The functional is PBE.

It has space group P4/mmm (No. 123), with a = 5.916 Å, b = 5.916 Å, c = 6.258 Å, α = 90.00°, β = 90.00° and γ = 90.00°. The asymmetric unit holds Rb at (0.000, 0.000, 0.000), Sr at (0.500, 0.500, 0.500), La at (0.500, 0.500, 0.000) and Ag at (0.000, 0.500, 0.500).

The density is 4.00 Mg/m³. For the formation energy from the elements, the calculation gives 0.70 eV per atom.

Entry 15:
This record from the Alexandria database describes a relaxed structure of RbLaAgTe3. The functional is PBE.

It has space group Cmcm (No. 63), with a = 4.759 Å, b = 17.679 Å, c = 11.053 Å, α = 90.00°, β = 90.00° and γ = 90.00°. The asymmetric unit holds Rb at (0.000, 0.245, 0.250), La at (0.000, 0.000, 0.000), Ag at (0.000, 0.493, 0.250), Te at (0.000, 0.096, 0.750) and Te at (0.000, 0.386, 0.585).

The energy relative to the elements, uncorrected is -0.9589 eV per atom. The density is 5.11 Mg/m³.

Entry 16:
This record from the Alexandria database describes a relaxed structure of LaRe2Ag. The functional is PBE.

It has space group Pmmm (No. 47), with a = 3.287 Å, b = 4.679 Å, c = 5.010 Å, α = 90.00°, β = 90.00° and γ = 90.00°. The asymmetric unit holds La at (0.000, 0.000, 0.000), Re at (0.000, 0.500, 0.500), Re at (0.500, 0.000, 0.500) and Ag at (0.500, 0.500, 0.000).

The density is 13.34 Mg/m³. For the formation energy from the elements, the calculation gives 0.73 eV per atom.

Entry 17:
This record from the Alexandria database describes a relaxed structure of LaRe2Ag. The functional is PBE.

It has space group Cmmm (No. 65), with a = 3.088 Å, b = 4.687 Å, c = 10.182 Å, α = 90.00°, β = 90.00° and γ = 90.00°. The asymmetric unit holds La at (0.000, 0.000, 0.000), Re at (0.000, 0.500, 0.266) and Ag at (0.000, 0.000, 0.500).

The density is 13.96 Mg/m³. For the formation energy from the elements, the calculation gives 0.86 eV per atom.

Entry 18:
This record from the Alexandria database describes a relaxed structure of LaRe2Ag. The functional is PBE.

It has space group P2/m (No. 10), with a = 3.088 Å, b = 5.118 Å, c = 4.971 Å, α = 90.00°, β = 92.09° and γ = 90.00°. The asymmetric unit holds La at (0.000, 0.000, 0.000), Re at (0.323, 0.500, 0.770) and Ag at (0.500, 0.000, 0.500).

The density is 13.10 Mg/m³. For the formation energy from the elements, the calculation gives 0.71 eV per atom.

Entry 19:
This record from the Alexandria database describes a relaxed structure of LaReAg. The functional is PBE.

It has space group F-43m (No. 216), with a = 6.638 Å, b = 6.638 Å, c = 6.638 Å, α = 90.00°, β = 90.00° and γ = 90.00°. The asymmetric unit holds La at (0.000, 0.000, 0.000), Re at (0.250, 0.250, 0.750) and Ag at (0.000, 0.000, 0.500).

The density is 9.83 Mg/m³. For the formation energy from the elements, the calculation gives 0.87 eV per atom.

Entry 20:
This record from the Alexandria database describes a relaxed structure of LaRe2Ag. The functional is PBE.

It has space group C2/m (No. 12), with a = 5.657 Å, b = 10.081 Å, c = 2.874 Å, α = 90.00°, β = 113.46° and γ = 90.00°. The asymmetric unit holds La at (0.000, 0.000, 0.000), Re at (0.250, 0.250, 0.500) and Ag at (0.000, 0.500, 0.000).

The density is 13.68 Mg/m³. For the formation energy from the elements, the calculation gives 0.72 eV per atom.